Density functional theory data (PBE+U) for crystalline CsCrBF6 at its relaxed geometry.

* uncorrected energy: -0.415 Ry per atom
* space-group type: P1

Unit cell a=4.8073 b=5.4851 c=6.5729 alpha=91.89 beta=93.82 gamma=64.46
Last column: nearest neighbours and their distance in Å.
Fractional coordinates of all 9 atoms:
Cs 0.9763 0.0585 0.9998  6 F 2.95-3.22
Cr 0.6865 0.6292 0.5005  2 F 1.94
B 0.3917 0.2149 0.4996  4 F 1.41-1.42
F 0.1354 0.3773 0.3701  1 B 1.41
F 0.3076 0.0396 0.6088  1 B 1.42
F 0.4830 0.3753 0.6351  1 B 1.41
F 0.8783 0.6278 0.7693  1 Cr 1.94
F 0.4952 0.6262 0.2324  1 Cr 1.94
F 0.6458 0.0511 0.3843  1 B 1.42